1.
Crystalline ZrZnP2 at its relaxed geometry. Source: the Alexandria database, functional PBE-GGA.

The structure in POSCAR format:
```
ZrZnP2
1.0
3.646 0.000 0.000
0.000 3.651 -0.014
0.000 3.622 5.388
P Zr Zn
2 1 1
Direct
0.500 0.163 0.339
0.000 0.091 0.910
0.500 0.688 0.811
0.000 0.558 0.441
```

Energy of formation = -215 kJ/mol of formula units
ΔE to the lowest computed polymorph = 0.056 eV per atom
Magnetization = 0.000 μB per atom

***

2.
Crystalline ZrZn2P2 at its relaxed geometry. Source: the Alexandria database, functional PBE-GGA.

The structure in POSCAR format:
```
ZrZn2P2
1.0
6.864 0.000 0.000
0.000 6.864 0.000
0.000 0.000 3.544
Zr P Zn
2 4 4
Direct
0.000 0.000 0.000
0.500 0.500 0.000
0.848 0.652 0.000
0.152 0.348 0.000
0.652 0.152 0.000
0.348 0.848 0.000
0.350 0.150 0.500
0.850 0.350 0.500
0.150 0.650 0.500
0.650 0.850 0.500
```

Energy of formation = -133 kJ/mol of formula units
Magnetization = 0.000 μB per atom

***

3.
Crystalline ZrZn2P at its relaxed geometry. Source: the Alexandria database, functional PBE-GGA.

The structure in POSCAR format:
```
ZrZn2P
1.0
-8.446 -0.551 -2.140
-7.158 -0.622 -4.959
-7.407 -3.231 -3.302
Zr Zn P
1 2 1
Direct
0.505 0.505 0.505
0.997 0.997 0.997
0.745 0.745 0.745
0.253 0.253 0.253
```

Energy of formation = -9 kJ/mol of formula units
Magnetization = 0.000 μB per atom

***

4.
Crystalline ZrZn2P at its relaxed geometry. Source: the Alexandria database, functional PBE-GGA.

The structure in POSCAR format:
```
ZrZn2P
1.0
4.921 -1.358 -0.323
1.758 -2.653 4.005
-4.070 -0.347 -3.079
Zr P Zn
1 1 2
Direct
0.500 0.500 0.000
0.750 0.250 0.500
0.250 0.750 0.500
0.000 0.000 0.000
```

Energy of formation = -129 kJ/mol of formula units
Magnetization = 0.000 μB per atom

***

5.
Crystalline ZrZnP2 at its relaxed geometry. Source: the Alexandria database, functional PBE-GGA.

The structure in POSCAR format:
```
ZrZnP2
1.0
4.562 0.000 0.000
2.281 3.951 0.000
2.281 1.317 3.725
P Zr Zn
2 1 1
Direct
0.250 0.250 0.250
0.000 0.000 0.000
0.750 0.750 0.750
0.500 0.500 0.500
```

Energy of formation = 41 kJ/mol of formula units
ΔE to the lowest computed polymorph = 0.718 eV per atom
Magnetization = 0.000 μB per atom

***

6.
Crystalline ZrZnP2 at its relaxed geometry. Source: the Alexandria database, functional PBE-GGA.

The structure in POSCAR format:
```
ZrZnP2
1.0
5.472 0.029 0.000
2.937 4.617 0.000
-4.204 -2.323 2.621
Zn Zr P
1 1 2
Direct
0.500 0.500 0.000
0.750 0.250 0.500
0.000 0.000 0.000
0.250 0.750 0.500
```

Energy of formation = -169 kJ/mol of formula units
ΔE to the lowest computed polymorph = 0.175 eV per atom
Magnetization = 0.000 μB per atom